Density functional theory data (GGA-PBE) for an optimized crystal structure of AcPu2Pb.

Cell lengths 7.8644, 7.8644, 7.8644 Å; angles 90.00, 90.00, 90.00 degrees
Space group Fm-3m (No. 225)
Asymmetric unit:
Ac: 0.0000 0.0000 0.0000 [4 per cell]
Pu: 0.2500 0.2500 0.2500 [8 per cell]
Pb: 0.0000 0.0000 0.5000 [4 per cell]

Properties
Magnetic moment   14.123 μB/f.u.
Distance to the lowest polymorph of the same formula   203.8 meV per atom
Calculated density   12.59 Mg/m³
Density of states at the Fermi level   62.69 states/eV per cell
DFT formation energy   0.136 eV per atom

Density functional theory data (GGA-PBE) for an optimized crystal structure of PuHg3S2Cl6.

Cell lengths 14.9089, 7.5764, 6.8347 Å; angles 90.00, 113.52, 90.00 degrees
Space group C2/m (No. 12)
Asymmetric unit:
Pu: 0.0000 0.0000 0.0000 [2 per cell]
Hg: 0.0000 0.5000 0.5000 [2 per cell]
Hg: 0.2500 0.2500 0.5000 [4 per cell]
S: 0.1773 0.5000 0.6177 [4 per cell]
Cl: 0.0896 0.0000 0.4231 [4 per cell]
Cl: 0.1159 0.2457 0.9820 [8 per cell]

Properties
Magnetic moment   4.000 μB/f.u.
Formation energy (no corrections)   -0.8848 eV per atom
Calculated density   5.27 Mg/m³
Density of states at the Fermi level   9.13 states/eV per cell

Density functional theory data (GGA-PBE) for an optimized crystal structure of Li3Er2US6.

Cell lengths 6.7397, 11.6690, 6.5751 Å; angles 90.00, 109.97, 90.00 degrees
Space group C2/m (No. 12)
Asymmetric unit:
Li: 0.0000 0.0000 0.0000 [2 per cell]
Li: 0.0000 0.3315 0.0000 [4 per cell]
Er: 0.0000 0.1665 0.5000 [4 per cell]
U: 0.0000 0.5000 0.5000 [2 per cell]
S: 0.2479 0.0000 0.7518 [4 per cell]
S: 0.2480 0.1681 0.2483 [8 per cell]

Properties
Magnetic moment   2.980 μB/f.u.
Formation energy (no corrections)   -1.6595 eV per atom
Calculated density   5.37 Mg/m³
Density of states at the Fermi level   19.35 states/eV per cell